1.
Compound: Li4CrIr
Source: Alexandria
Functional: PBE-GGA
Structure: optimized geometry

SG: No. 216
DOS(E_F): 4.42 states/eV/cell
formation enthalpy at 0 K: 0.24 eV per atom
magnetization: 4.41 μB/f.u.
calculated volume: 13.2 Å³ per atom

Cell: 4.8237 4.8237 4.8237 Å, 60.00 60.00 60.00°
Closest atoms and distances in Å follow each position.
Fractional positions:
Li (0.6269, 0.6269, 0.1194)  6 Li 2.38-2.45
Li (0.6269, 0.1194, 0.6269)  6 Li 2.38-2.45
Li (0.6269, 0.6269, 0.6269)  6 Li 2.38-2.45
Li (0.1194, 0.6269, 0.6269)  6 Li 2.38-2.45
Cr (0.2500, 0.2500, 0.2500)  12 Li 2.83, 4 Ir 2.95
Ir (0.0000, 0.0000, 0.0000)  12 Li 2.82, 4 Cr 2.95


2.
Compound: LiCr2Ir2
Source: Alexandria
Functional: PBE-GGA
Structure: optimized geometry

distance to the lowest polymorph of the same formula: 0.135 eV per formula unit
SG: No. 127
DOS(E_F): 8.41 states/eV/cell
formation enthalpy at 0 K: -0.03 eV per atom
magnetization: 0.65 μB/f.u.
calculated volume: 14.4 Å³ per atom

Cell: 7.3550 7.3550 2.6625 Å, 90.00 90.00 90.00°
Closest atoms and distances in Å follow each position.
Fractional positions:
Cr (0.1617, 0.6617, 0.5000)  6 Ir 2.52-2.55, 2 Cr 2.66
Cr (0.6617, 0.8383, 0.5000)  6 Ir 2.52-2.55, 2 Cr 2.66
Cr (0.8383, 0.3383, 0.5000)  6 Ir 2.52-2.55, 2 Cr 2.66
Cr (0.3383, 0.1617, 0.5000)  6 Ir 2.52-2.55, 2 Cr 2.66
Ir (0.3674, 0.8674, 0.0000)  6 Cr 2.52-2.55, 3 Ir 2.66-2.76
Ir (0.8674, 0.6326, 0.0000)  6 Cr 2.52-2.55, 3 Ir 2.66-2.76
Ir (0.6326, 0.1326, 0.0000)  6 Cr 2.52-2.55, 3 Ir 2.66-2.76
Ir (0.1326, 0.3674, 0.0000)  6 Cr 2.52-2.55, 3 Ir 2.66-2.76
Li (0.0000, 0.0000, 0.0000)  2 Li 2.66, 4 Ir 2.87
Li (0.5000, 0.5000, 0.0000)  2 Li 2.66, 4 Ir 2.87


3.
Compound: LiCr2Ir
Source: Alexandria
Functional: PBE-GGA
Structure: optimized geometry

SG: No. 122
DOS(E_F): 5.57 states/eV/cell
formation enthalpy at 0 K: 0.63 eV per atom
magnetization: 0.00 μB/f.u.
calculated volume: 13.9 Å³ per atom

Cell: 6.8217 6.8217 5.3864 Å, 50.71 50.71 90.00°
Closest atoms and distances in Å follow each position.
Fractional positions:
Cr (0.6510, 0.1250, 0.2500)  2 Ir 2.37, 2 Cr 2.42, 2 Li 2.61
Cr (0.0990, 0.6250, 0.2500)  2 Ir 2.37, 2 Cr 2.42, 2 Li 2.61
Cr (0.3750, 0.3490, 0.7500)  2 Ir 2.37, 2 Cr 2.42, 2 Li 2.61
Cr (0.8750, 0.9010, 0.7500)  2 Ir 2.37, 2 Cr 2.42, 2 Li 2.61
Ir (0.0000, 0.0000, 0.0000)  4 Cr 2.37, 2 Li 2.40
Ir (0.7500, 0.2500, 0.5000)  4 Cr 2.37, 2 Li 2.40
Li (0.5000, 0.5000, 0.0000)  2 Ir 2.40, 4 Cr 2.61
Li (0.2500, 0.7500, 0.5000)  2 Ir 2.40, 4 Cr 2.61


4.
Compound: LiCr2Ir2
Source: Alexandria
Functional: PBE-GGA
Structure: optimized geometry

distance to the lowest polymorph of the same formula: 0.000 eV per formula unit
SG: No. 127
DOS(E_F): 7.78 states/eV/cell
formation enthalpy at 0 K: -0.05 eV per atom
magnetization: 0.00 μB/f.u.
calculated volume: 14.3 Å³ per atom

Cell: 7.3340 7.3340 2.6570 Å, 90.00 90.00 90.00°
Closest atoms and distances in Å follow each position.
Fractional positions:
Cr (0.3847, 0.8847, 0.0000)  3 Cr 2.39-2.66, 6 Ir 2.52-2.58
Cr (0.8847, 0.6153, 0.0000)  3 Cr 2.39-2.66, 6 Ir 2.52-2.58
Cr (0.6153, 0.1153, 0.0000)  3 Cr 2.39-2.66, 6 Ir 2.52-2.58
Cr (0.1153, 0.3847, 0.0000)  3 Cr 2.39-2.66, 6 Ir 2.52-2.58
Ir (0.1717, 0.6717, 0.5000)  6 Cr 2.52-2.58, 2 Ir 2.66
Ir (0.6717, 0.8283, 0.5000)  6 Cr 2.52-2.58, 2 Ir 2.66
Ir (0.8283, 0.3283, 0.5000)  6 Cr 2.52-2.58, 2 Ir 2.66
Ir (0.3283, 0.1717, 0.5000)  6 Cr 2.52-2.58, 2 Ir 2.66
Li (0.0000, 0.0000, 0.0000)  2 Li 2.66, 4 Cr 2.95
Li (0.5000, 0.5000, 0.0000)  2 Li 2.66, 4 Cr 2.95


5.
Compound: LiCr2Ir
Source: Alexandria
Functional: PBE-GGA
Structure: optimized geometry

SG: No. 123
DOS(E_F): 4.37 states/eV/cell
formation enthalpy at 0 K: 0.25 eV per atom
magnetization: 4.37 μB/f.u.
calculated volume: 13.3 Å³ per atom

Cell: 4.3104 4.3104 2.8613 Å, 90.00 90.00 90.00°
Closest atoms and distances in Å follow each position.
Fractional positions:
Cr (0.0000, 0.0000, 0.0000)  4 Li 2.59, 4 Ir 2.59, 2 Cr 2.86
Cr (0.5000, 0.5000, 0.0000)  4 Li 2.59, 4 Ir 2.59, 2 Cr 2.86
Ir (0.5000, 0.0000, 0.5000)  8 Cr 2.59, 2 Ir 2.86
Li (0.0000, 0.5000, 0.5000)  8 Cr 2.59, 2 Li 2.86


6.
Compound: LiCr2Ir
Source: Alexandria
Functional: PBE-GGA
Structure: optimized geometry

SG: No. 160
DOS(E_F): 5.45 states/eV/cell
formation enthalpy at 0 K: 0.21 eV per atom
magnetization: 0.00 μB/f.u.
calculated volume: 13.3 Å³ per atom

Cell: 8.9798 8.9798 8.9798 Å, 16.86 16.86 16.86°
Closest atoms and distances in Å follow each position.
Fractional positions:
Cr (0.9953, 0.9953, 0.9953)  9 Cr 2.61-2.63, 3 Li 2.81
Cr (0.2488, 0.2488, 0.2488)  3 Ir 2.55, 9 Cr 2.61-2.63
Ir (0.5048, 0.5048, 0.5048)  3 Cr 2.55, 6 Ir 2.63, 3 Li 2.77
Li (0.7511, 0.7511, 0.7511)  6 Li 2.63, 3 Ir 2.77, 3 Cr 2.81


7.
Compound: LiCr2Ir
Source: Alexandria
Functional: PBE-GGA
Structure: optimized geometry

SG: No. 6
DOS(E_F): 4.29 states/eV/cell
formation enthalpy at 0 K: 0.15 eV per atom
magnetization: 0.66 μB/f.u.
calculated volume: 12.5 Å³ per atom

Cell: 4.0103 2.6207 4.8188 Å, 81.54 90.00 90.00°
Closest atoms and distances in Å follow each position.
Fractional positions:
Cr (0.0000, 0.0237, 0.9943)  4 Cr 2.42-2.62, 2 Li 2.46, 2 Ir 2.53-2.60
Cr (0.5000, 0.1915, 0.2469)  4 Cr 2.42-2.62, 2 Li 2.54-2.61, 2 Ir 2.57
Ir (0.0000, 0.5212, 0.5025)  2 Li 2.48, 4 Cr 2.53-2.60, 2 Ir 2.62
Li (0.5000, 0.7637, 0.7563)  4 Cr 2.46-2.61, 2 Ir 2.48, 2 Li 2.62


8.
Compound: LiCr2Ir
Source: Alexandria
Functional: PBE-GGA
Structure: optimized geometry

SG: No. 65
DOS(E_F): 4.41 states/eV/cell
formation enthalpy at 0 K: 0.19 eV per atom
magnetization: 0.00 μB/f.u.
calculated volume: 12.5 Å³ per atom

Cell: 4.6746 4.6746 2.5850 Å, 90.00 90.00 118.03°
Closest atoms and distances in Å follow each position.
Fractional positions:
Cr (0.0000, 0.0000, 0.0000)  4 Cr 2.41-2.58, 4 Li 2.67, 4 Ir 2.67
Cr (0.5000, 0.5000, 0.0000)  4 Cr 2.41-2.58, 4 Ir 2.67, 4 Li 2.67
Ir (0.5000, 0.0000, 0.5000)  2 Li 2.41, 2 Ir 2.58, 8 Cr 2.67
Li (0.0000, 0.5000, 0.5000)  2 Ir 2.41, 2 Li 2.58, 8 Cr 2.67


9.
Compound: LiCr2Ir
Source: Alexandria
Functional: PBE-GGA
Structure: optimized geometry

SG: No. 10
DOS(E_F): 3.85 states/eV/cell
formation enthalpy at 0 K: 0.15 eV per atom
magnetization: 0.00 μB/f.u.
calculated volume: 12.2 Å³ per atom

Cell: 4.0123 2.5993 5.0265 Å, 69.07 90.00 90.00°
Closest atoms and distances in Å follow each position.
Fractional positions:
Cr (0.0000, 0.9933, 0.9829)  1 Cr 2.24
Cr (0.0000, 0.5067, 0.5171)  1 Cr 2.24
Ir (0.5000, 0.2500, 0.2500)  2 Li 2.38, 2 Ir 2.60, 4 Cr 2.63
Li (0.5000, 0.7500, 0.7500)  2 Ir 2.38, 4 Cr 2.51, 2 Li 2.60


10.
Compound: LiCr2Ir
Source: Alexandria
Functional: PBE-GGA
Structure: optimized geometry

SG: No. 8
DOS(E_F): 2.67 states/eV/cell
formation enthalpy at 0 K: 0.08 eV per atom
magnetization: 0.32 μB/f.u.
calculated volume: 12.9 Å³ per atom

Cell: 4.8780 4.8780 4.3307 Å, 63.61 63.61 34.36°
Closest atoms and distances in Å follow each position.
Fractional positions:
Cr (0.9807, 0.9807, 0.0187)  2 Cr 2.30
Cr (0.2637, 0.2637, 0.2368)  2 Cr 2.30, 2 Ir 2.55
Ir (0.5089, 0.5089, 0.4905)  6 Cr 2.55-2.61, 2 Li 2.60
Li (0.7468, 0.7468, 0.7540)  2 Ir 2.60, 8 Cr 2.60-2.90, 2 Li 2.88


11.
Compound: LiCr2Ir
Source: Alexandria
Functional: PBE-GGA
Structure: optimized geometry

SG: No. 139
DOS(E_F): 5.34 states/eV/cell
formation enthalpy at 0 K: 0.19 eV per atom
magnetization: 0.00 μB/f.u.
calculated volume: 12.0 Å³ per atom

Cell: 4.7554 4.7554 4.7554 Å, 137.69 137.69 61.38°
Closest atoms and distances in Å follow each position.
Fractional positions:
Cr (0.0000, 0.0000, 0.0000)  4 Cr 2.43, 4 Li 2.67, 4 Ir 2.67
Cr (0.5000, 0.5000, 0.0000)  4 Cr 2.43, 4 Ir 2.67, 4 Li 2.67
Ir (0.2500, 0.7500, 0.5000)  4 Li 2.43, 8 Cr 2.67
Li (0.7500, 0.2500, 0.5000)  4 Ir 2.43, 8 Cr 2.67


12.
Compound: LiCr2Ir
Source: Alexandria
Functional: PBE-GGA
Structure: optimized geometry

SG: No. 123
DOS(E_F): 6.00 states/eV/cell
formation enthalpy at 0 K: 0.36 eV per atom
magnetization: 0.12 μB/f.u.
calculated volume: 13.6 Å³ per atom

Cell: 2.6107 2.6107 8.0025 Å, 90.00 90.00 90.00°
Closest atoms and distances in Å follow each position.
Fractional positions:
Cr (0.0000, 0.0000, 0.0186)  4 Cr 2.61, 4 Ir 2.62, 4 Li 2.83
Cr (0.0000, 0.0000, 0.4814)  4 Cr 2.61, 4 Ir 2.62, 4 Li 2.83
Ir (0.5000, 0.5000, 0.2500)  4 Ir 2.61, 8 Cr 2.62
Li (0.5000, 0.5000, 0.7500)  4 Li 2.61, 8 Cr 2.83


What is the DOS(E_F) in the third record?
5.57 states/eV/cell


Repeat the sixth record exactly.
Compound: LiCr2Ir
Source: Alexandria
Functional: PBE-GGA
Structure: optimized geometry

SG: No. 160
DOS(E_F): 5.45 states/eV/cell
formation enthalpy at 0 K: 0.21 eV per atom
magnetization: 0.00 μB/f.u.
calculated volume: 13.3 Å³ per atom

Cell: 8.9798 8.9798 8.9798 Å, 16.86 16.86 16.86°
Closest atoms and distances in Å follow each position.
Fractional positions:
Cr (0.9953, 0.9953, 0.9953)  9 Cr 2.61-2.63, 3 Li 2.81
Cr (0.2488, 0.2488, 0.2488)  3 Ir 2.55, 9 Cr 2.61-2.63
Ir (0.5048, 0.5048, 0.5048)  3 Cr 2.55, 6 Ir 2.63, 3 Li 2.77
Li (0.7511, 0.7511, 0.7511)  6 Li 2.63, 3 Ir 2.77, 3 Cr 2.81


Number 7 is which compound?
LiCr2Ir